A plane-wave DFT calculation with PBE-GGA was carried out for a geometry-optimized LiIrRh2 structure.

Output
energy relative to the elements	-1	meV/atom
VASP energy	-6.370	eV per atom
crystal system	trigonal

a b c (Å): 2.7265 2.7265 26.3891
angles (deg): 90.00 90.00 120.00
Space group R-3m (No. 166, hexagonal axes)
Inequivalent atoms, fractional coordinates:
Li1 0.0000 0.0000 0.0000 (multiplicity 3)
Ir1 0.0000 0.0000 0.5000 (multiplicity 3)
Rh1 0.0000 0.0000 0.2498 (multiplicity 6)

=====

A plane-wave DFT calculation with PBE-GGA was carried out for a geometry-optimized CrMoOs3 structure.

Output
energy relative to the elements	2562	meV/atom
VASP energy	-8.267	eV per atom
crystal system	cubic

a b c (Å): 4.643 4.643 4.643
angles (deg): 90.00 90.00 90.00
Space group Pm-3m (No. 221)
Inequivalent atoms, fractional coordinates:
Cr1 0.000 0.000 0.000 (multiplicity 1)
Mo1 0.500 0.500 0.500 (multiplicity 1)
Os1 0.000 0.500 0.500 (multiplicity 3)

=====

A plane-wave DFT calculation with PBE-GGA was carried out for a geometry-optimized Mg2TiB2Ir5 structure.

Output
energy relative to the elements	-587	meV/atom
VASP energy	-7.461	eV per atom
crystal system	tetragonal

a b c (Å): 9.548 9.548 2.955
angles (deg): 90.00 90.00 90.00
Space group P4/mbm (No. 127)
Inequivalent atoms, fractional coordinates:
Mg1 0.177 0.323 0.000 (multiplicity 4)
Ti1 0.000 0.000 0.000 (multiplicity 2)
B1 0.123 0.623 0.000 (multiplicity 4)
Ir1 0.000 0.500 0.500 (multiplicity 2)
Ir2 0.071 0.784 0.500 (multiplicity 8)

=====

A plane-wave DFT calculation with PBE-GGA was carried out for a geometry-optimized PrSmDy4 structure.

Output
energy relative to the elements	144	meV/atom
VASP energy	-4.507	eV per atom
crystal system	monoclinic

a b c (Å): 8.879 14.795 6.495
angles (deg): 90.00 109.86 90.00
Space group C2/c (No. 15)
Inequivalent atoms, fractional coordinates:
Pr1 0.000 0.084 0.250 (multiplicity 4)
Sm1 0.000 0.499 0.250 (multiplicity 4)
Dy1 0.092 0.304 0.535 (multiplicity 8)
Dy2 0.204 0.132 0.881 (multiplicity 8)

=====

A plane-wave DFT calculation with PBE-GGA was carried out for a geometry-optimized LiAcLuAl structure.

Output
energy relative to the elements	-110	meV/atom
VASP energy	-3.681	eV per atom
crystal system	cubic

a b c (Å): 7.587 7.587 7.587
angles (deg): 90.00 90.00 90.00
Space group F-43m (No. 216)
Inequivalent atoms, fractional coordinates:
Li1 0.000 0.000 0.000 (multiplicity 4)
Ac1 0.250 0.250 0.750 (multiplicity 4)
Lu1 0.250 0.250 0.250 (multiplicity 4)
Al1 0.000 0.000 0.500 (multiplicity 4)

=====

A plane-wave DFT calculation with PBE-GGA was carried out for a geometry-optimized La8AlOs2 structure.

Output
energy relative to the elements	-92	meV/atom
VASP energy	-6.057	eV per atom
crystal system	monoclinic

a b c (Å): 8.884 13.959 5.700
angles (deg): 90.00 103.89 90.00
Space group C2/m (No. 12)
Inequivalent atoms, fractional coordinates:
La1 0.000 0.249 0.000 (multiplicity 4)
La2 0.105 0.500 0.799 (multiplicity 4)
La3 0.201 0.125 0.550 (multiplicity 8)
Al1 0.000 0.000 0.000 (multiplicity 2)
Os1 0.000 0.299 0.500 (multiplicity 4)

=====

A plane-wave DFT calculation with PBE-GGA was carried out for a geometry-optimized Ti3GeMo structure.

Output
energy relative to the elements	772	meV/atom
VASP energy	-7.055	eV per atom
crystal system	cubic

a b c (Å): 4.717 4.717 4.717
angles (deg): 90.00 90.00 90.00
Space group Pm-3m (No. 221)
Inequivalent atoms, fractional coordinates:
Ti1 0.000 0.000 0.500 (multiplicity 3)
Ge1 0.500 0.500 0.500 (multiplicity 1)
Mo1 0.000 0.000 0.000 (multiplicity 1)

=====

A plane-wave DFT calculation with PBE-GGA was carried out for a geometry-optimized PmErBeRu structure.

Output
energy relative to the elements	-78	meV/atom
VASP energy	-5.657	eV per atom
crystal system	cubic

a b c (Å): 6.894 6.894 6.894
angles (deg): 90.00 90.00 90.00
Space group F-43m (No. 216)
Inequivalent atoms, fractional coordinates:
Pm1 0.000 0.000 0.000 (multiplicity 4)
Er1 0.000 0.000 0.500 (multiplicity 4)
Be1 0.250 0.250 0.250 (multiplicity 4)
Ru1 0.250 0.250 0.750 (multiplicity 4)

=====

A plane-wave DFT calculation with PBE-GGA was carried out for a geometry-optimized CsNa2HgAs structure.

Output
energy relative to the elements	-225	meV/atom
VASP energy	-1.914	eV per atom
crystal system	tetragonal

a b c (Å): 5.656 5.656 7.173
angles (deg): 90.00 90.00 90.00
Space group P4/mmm (No. 123)
Inequivalent atoms, fractional coordinates:
Cs1 0.000 0.000 0.000 (multiplicity 1)
Na1 0.000 0.500 0.500 (multiplicity 2)
Hg1 0.500 0.500 0.000 (multiplicity 1)
As1 0.000 0.000 0.500 (multiplicity 1)

=====

A plane-wave DFT calculation with PBE-GGA was carried out for a geometry-optimized Tb4SbTeSe2 structure.

Output
VASP energy	-5.610	eV per atom
crystal system	monoclinic
ΔE_f (raw)	-1.52	eV/atom

a b c (Å): 7.335 4.226 7.390
angles (deg): 90.00 109.17 90.00
Space group P2/m (No. 10)
Inequivalent atoms, fractional coordinates:
Tb1 0.233 0.000 0.223 (multiplicity 2)
Tb2 0.250 0.500 0.771 (multiplicity 2)
Sb1 0.000 0.000 0.500 (multiplicity 1)
Te1 0.500 0.500 0.500 (multiplicity 1)
Se1 0.000 0.500 0.000 (multiplicity 1)
Se2 0.500 0.000 0.000 (multiplicity 1)